--- one ---
{
  "formula": "KRb7Au3",
  "functional": "PBE",
  "state": "optimized geometry",
  "magmom_total_mub_per_fu": 0.0,
  "lattice_angstrom": [[8.210, 0.000, 0.000], [0.000, 9.882, 0.000], [0.000, -4.941, 8.558]],
  "species": ["K", "Rb", "Rb", "Rb", "Rb", "Rb", "Rb", "Rb", "Au", "Au", "Au"],
  "fractional_positions": [[0.556, 0.333, 0.667], [0.030, 0.170, 0.830], [0.030, 0.170, 0.340], [0.014, 0.667, 0.333], [0.539, 0.832, 0.168], [0.539, 0.336, 0.168], [0.539, 0.832, 0.664], [0.030, 0.660, 0.830], [0.779, 0.497, 0.503], [0.779, 0.497, 0.995], [0.779, 0.005, 0.503]]
}

***

--- two ---
{
  "formula": "KRb7Au3",
  "functional": "PBE",
  "state": "optimized geometry",
  "magmom_total_mub_per_fu": 0.0,
  "lattice_angstrom": [[8.720, 0.000, 4.635], [4.389, 8.580, 2.264], [0.537, -0.041, 9.509]],
  "species": ["K", "Rb", "Rb", "Rb", "Rb", "Rb", "Rb", "Rb", "Au", "Au", "Au"],
  "fractional_positions": [[0.789, 0.589, 0.834], [0.358, 0.915, 0.369], [0.282, 0.588, 0.848], [0.859, 0.917, 0.365], [0.278, 0.086, 0.853], [0.783, 0.086, 0.853], [0.358, 0.422, 0.358], [0.863, 0.422, 0.358], [0.067, 0.257, 0.609], [0.573, 0.751, 0.610], [0.066, 0.751, 0.610]]
}

***

Pick two: it beats the second-best structure by 6 meV/atom.

***

--- one ---
{
  "formula": "K4Rb3Au4",
  "functional": "PBE",
  "state": "optimized geometry",
  "magmom_total_mub_per_fu": 0.0,
  "lattice_angstrom": [[8.819, 0.000, 0.000], [-2.940, 8.315, 0.000], [-2.940, -4.157, 7.201]],
  "species": ["K", "K", "K", "K", "Rb", "Rb", "Rb", "Au", "Au", "Au", "Au"],
  "fractional_positions": [[0.000, 0.301, 0.000], [0.000, 0.000, 0.301], [0.301, 0.000, 0.000], [0.699, 0.699, 0.699], [0.500, 0.500, 0.000], [0.500, 0.000, 0.500], [0.000, 0.500, 0.500], [0.000, 0.659, 0.000], [0.659, 0.000, 0.000], [0.000, 0.000, 0.659], [0.341, 0.341, 0.341]]
}

***

--- two ---
{
  "formula": "K4Rb3Au4",
  "functional": "PBE",
  "state": "optimized geometry",
  "magmom_total_mub_per_fu": 0.0,
  "lattice_angstrom": [[-3.135, 2.267, 2.452], [-5.047, 2.335, -8.614], [-1.130, -10.443, 3.933]],
  "species": ["K", "K", "K", "K", "Rb", "Rb", "Rb", "Au", "Au", "Au", "Au"],
  "fractional_positions": [[0.330, 0.139, 0.660], [0.670, 0.479, 0.340], [0.670, 0.861, 0.340], [0.330, 0.521, 0.660], [0.097, 0.097, 0.193], [0.903, 0.903, 0.807], [0.000, 0.500, 0.000], [0.255, 0.755, 0.510], [0.745, 0.245, 0.490], [0.500, 0.780, 0.000], [0.500, 0.220, 0.000]]
}

***

Pick two: it beats the second-best structure by 67 meV/atom.

***

--- one ---
{
  "formula": "K2Rb6Au",
  "functional": "PBE",
  "state": "optimized geometry",
  "magmom_total_mub_per_fu": 0.0,
  "lattice_angstrom": [[-2.103, 4.532, -0.974], [-10.209, -5.482, -3.469], [1.506, 3.193, 11.609]],
  "species": ["K", "K", "Rb", "Rb", "Rb", "Rb", "Rb", "Rb", "Au"],
  "fractional_positions": [[0.000, 0.330, 0.651], [0.000, 0.680, 0.349], [0.500, 0.596, 0.000], [0.500, 0.368, 0.359], [0.500, 0.009, 0.641], [0.000, 0.225, 0.000], [0.000, 0.785, 0.792], [0.000, 0.993, 0.208], [0.500, 0.015, 0.000]]
}

***

--- two ---
{
  "formula": "K2Rb6Au",
  "functional": "PBE",
  "state": "optimized geometry",
  "magmom_total_mub_per_fu": 0.0,
  "lattice_angstrom": [[-2.467, -8.402, -4.553], [5.826, -7.928, 0.782], [-2.955, -7.796, 5.286]],
  "species": ["K", "K", "Rb", "Rb", "Rb", "Rb", "Rb", "Rb", "Au"],
  "fractional_positions": [[0.250, 0.250, 0.250], [0.750, 0.750, 0.750], [0.252, 0.252, 0.747], [0.252, 0.748, 0.252], [0.748, 0.252, 0.748], [0.748, 0.252, 0.252], [0.252, 0.748, 0.748], [0.748, 0.748, 0.253], [0.500, 0.500, 0.500]]
}

***

Pick two: it beats the second-best structure by 16 meV/atom.

***

--- one ---
{
  "formula": "KRb3Au2",
  "functional": "PBE",
  "state": "optimized geometry",
  "magmom_total_mub_per_fu": 0.0,
  "lattice_angstrom": [[9.437, 0.267, 0.194], [4.421, 8.342, 0.194], [4.421, 2.746, 7.879]],
  "species": ["K", "K", "Rb", "Rb", "Rb", "Rb", "Rb", "Rb", "Au", "Au", "Au", "Au"],
  "fractional_positions": [[0.500, 0.500, 0.500], [0.000, 0.000, 0.000], [0.482, 0.018, 0.750], [0.018, 0.750, 0.482], [0.750, 0.482, 0.018], [0.518, 0.982, 0.250], [0.982, 0.250, 0.518], [0.250, 0.518, 0.982], [0.357, 0.357, 0.357], [0.143, 0.143, 0.143], [0.857, 0.857, 0.857], [0.643, 0.643, 0.643]]
}

***

--- two ---
{
  "formula": "KRb3Au2",
  "functional": "PBE",
  "state": "optimized geometry",
  "magmom_total_mub_per_fu": 0.0,
  "lattice_angstrom": [[-4.179, -0.899, -2.533], [-0.677, -10.641, 0.020], [-7.755, -3.790, 9.265]],
  "species": ["K", "K", "Rb", "Rb", "Rb", "Rb", "Rb", "Rb", "Au", "Au", "Au", "Au"],
  "fractional_positions": [[0.821, 0.595, 0.763], [0.179, 0.405, 0.237], [0.163, 0.925, 0.749], [0.837, 0.075, 0.251], [0.408, 0.248, 0.936], [0.592, 0.752, 0.064], [0.596, 0.266, 0.542], [0.404, 0.734, 0.458], [0.235, 0.576, 0.955], [0.765, 0.424, 0.045], [0.763, 0.924, 0.549], [0.237, 0.076, 0.451]]
}

***

Pick two: it beats the second-best structure by 94 meV/atom.

***

--- one ---
{
  "formula": "K2RbAu2",
  "functional": "PBE",
  "state": "optimized geometry",
  "magmom_total_mub_per_fu": 0.0,
  "lattice_angstrom": [[-4.921, 0.586, 1.468], [0.197, -5.053, -6.424], [0.910, -7.801, 6.164]],
  "species": ["K", "K", "K", "K", "Rb", "Rb", "Au", "Au", "Au", "Au"],
  "fractional_positions": [[0.315, 0.629, 0.963], [0.685, 0.371, 0.463], [0.118, 0.236, 0.204], [0.882, 0.764, 0.704], [0.408, 0.816, 0.345], [0.592, 0.184, 0.845], [0.236, 0.471, 0.652], [0.764, 0.529, 0.152], [0.937, 0.874, 0.041], [0.063, 0.126, 0.541]]
}

***

--- two ---
{
  "formula": "K2RbAu2",
  "functional": "PBE",
  "state": "optimized geometry",
  "magmom_total_mub_per_fu": 0.0,
  "lattice_angstrom": [[9.603, 0.000, 0.000], [0.000, 9.603, 0.000], [0.000, 0.000, 3.917]],
  "species": ["K", "K", "K", "K", "Au", "Au", "Au", "Au", "Rb", "Rb"],
  "fractional_positions": [[0.371, 0.871, 0.000], [0.871, 0.629, 0.000], [0.629, 0.129, 0.000], [0.129, 0.371, 0.000], [0.168, 0.668, 0.500], [0.668, 0.832, 0.500], [0.832, 0.332, 0.500], [0.332, 0.168, 0.500], [0.000, 0.000, 0.000], [0.500, 0.500, 0.000]]
}

***

--- three ---
{
  "formula": "K2RbAu2",
  "functional": "PBE",
  "state": "optimized geometry",
  "magmom_total_mub_per_fu": 0.0,
  "lattice_angstrom": [[-3.657, 3.656, -0.862], [0.817, -0.400, -5.163], [-6.394, -3.441, -3.407]],
  "species": ["K", "K", "Au", "Au", "Rb"],
  "fractional_positions": [[0.750, 0.250, 0.500], [0.250, 0.750, 0.500], [0.402, 0.402, 0.197], [0.598, 0.598, 0.803], [0.000, 0.000, 0.000]]
}

***

--- four ---
{
  "formula": "K2RbAu2",
  "functional": "PBE",
  "state": "optimized geometry",
  "magmom_total_mub_per_fu": 0.0,
  "lattice_angstrom": [[5.266, 0.000, 0.000], [2.633, 5.987, -0.427], [2.633, 1.578, 5.791]],
  "species": ["K", "K", "Rb", "Au", "Au"],
  "fractional_positions": [[0.796, 0.704, 0.704], [0.204, 0.296, 0.296], [0.000, 0.000, 0.000], [0.500, 0.687, 0.313], [0.500, 0.313, 0.687]]
}

***

Pick four: it beats the second-best structure by 16 meV/atom.

***

--- one ---
{
  "formula": "KRbAu2",
  "functional": "PBE",
  "state": "optimized geometry",
  "magmom_total_mub_per_fu": 0.0,
  "lattice_angstrom": [[-1.683, -0.518, -7.616], [-7.563, -0.943, 1.736], [-5.615, 6.696, -3.226]],
  "species": ["K", "K", "Au", "Au", "Au", "Au", "Rb", "Rb"],
  "fractional_positions": [[0.500, 0.500, 0.000], [0.250, 0.750, 0.500], [0.611, 0.125, 0.250], [0.139, 0.625, 0.250], [0.375, 0.389, 0.750], [0.875, 0.861, 0.750], [0.000, 0.000, 0.000], [0.750, 0.250, 0.500]]
}

***

--- two ---
{
  "formula": "KRbAu2",
  "functional": "PBE",
  "state": "optimized geometry",
  "magmom_total_mub_per_fu": 0.0,
  "lattice_angstrom": [[-0.912, 4.729, -0.047], [-4.281, 1.612, -1.505], [-4.619, 1.633, 7.182]],
  "species": ["K", "Rb", "Au", "Au"],
  "fractional_positions": [[0.499, 0.499, 0.504], [0.668, 0.668, 0.996], [0.089, 0.089, 0.732], [0.244, 0.244, 0.268]]
}

***

Pick two: it beats the second-best structure by 89 meV/atom.

***

--- one ---
{
  "formula": "KRbAu2",
  "functional": "PBE",
  "state": "optimized geometry",
  "magmom_total_mub_per_fu": 0.0,
  "lattice_angstrom": [[4.745, 0.000, -0.031], [0.000, 4.892, 0.000], [-2.330, 0.000, 6.137]],
  "species": ["K", "Rb", "Au", "Au"],
  "fractional_positions": [[0.444, 0.500, 0.427], [0.726, 0.000, 0.990], [0.149, 0.500, 0.836], [0.013, 0.000, 0.565]]
}

***

--- two ---
{
  "formula": "KRbAu2",
  "functional": "PBE",
  "state": "optimized geometry",
  "magmom_total_mub_per_fu": 0.0,
  "lattice_angstrom": [[4.088, 0.000, 0.000], [0.000, 4.088, 0.000], [0.000, 0.000, 8.122]],
  "species": ["K", "Au", "Au", "Rb"],
  "fractional_positions": [[0.500, 0.500, 0.000], [0.000, 0.000, 0.767], [0.000, 0.000, 0.233], [0.500, 0.500, 0.500]]
}

***

Pick one: it beats the second-best structure by 24 meV/atom.

***

--- one ---
{
  "formula": "KRbAu2",
  "functional": "PBE",
  "state": "optimized geometry",
  "magmom_total_mub_per_fu": 0.0,
  "lattice_angstrom": [[0.000, 4.087, 4.087], [4.087, 0.000, 4.087], [4.087, 4.087, 0.000]],
  "species": ["K", "Au", "Au", "Rb"],
  "fractional_positions": [[0.000, 0.000, 0.000], [0.250, 0.250, 0.250], [0.750, 0.750, 0.750], [0.500, 0.500, 0.500]]
}

***

--- two ---
{
  "formula": "KRbAu2",
  "functional": "PBE",
  "state": "optimized geometry",
  "magmom_total_mub_per_fu": 0.0,
  "lattice_angstrom": [[4.901, 0.000, 0.000], [2.450, 4.244, 0.000], [2.450, 1.415, 7.978]],
  "species": ["K", "Au", "Au", "Rb"],
  "fractional_positions": [[0.000, 0.000, 0.000], [0.254, 0.254, 0.237], [0.746, 0.746, 0.763], [0.500, 0.500, 0.500]]
}

***

--- three ---
{
  "formula": "KRbAu2",
  "functional": "PBE",
  "state": "optimized geometry",
  "magmom_total_mub_per_fu": 0.0,
  "lattice_angstrom": [[9.734, -0.961, -1.441], [-0.796, 9.749, 1.441], [-5.307, -3.543, 7.553]],
  "species": ["K", "Rb", "Au", "Au"],
  "fractional_positions": [[0.000, 0.000, 0.000], [0.000, 0.500, 0.500], [0.000, 0.245, 0.245], [0.000, 0.755, 0.755]]
}

***

Pick one: it beats the second-best structure by 18 meV/atom.